No. 1
Below is an optimized crystal structure of AlV2Zn, with properties calculated at the GGA-PBE level.

Structure (CIF):
```
data_AlV2Zn
_cell_length_a 3.6631
_cell_length_b 3.6631
_cell_length_c 4.1394
_cell_angle_alpha 90.00
_cell_angle_beta 90.00
_cell_angle_gamma 90.00
_symmetry_space_group_name_H-M 'P 4/m m m'
_symmetry_Int_Tables_number 123
_symmetry_space_group_name_Hall '-P 4 2'
loop_
_atom_site_label
_atom_site_type_symbol
_atom_site_fract_x
_atom_site_fract_y
_atom_site_fract_z
_atom_site_occupancy
Al1 Al 0.0000 0.0000 0.0000 1
V1 V 0.0000 0.5000 0.5000 1
Zn1 Zn 0.5000 0.5000 0.0000 1
```

Results
Total DFT energy (no corrections) = -5.951 eV per atom

No. 2
Below is an optimized crystal structure of AlV12Zn3, with properties calculated at the GGA-PBE level.

Structure (CIF):
```
data_AlV12Zn3
_cell_length_a 4.7770
_cell_length_b 4.7812
_cell_length_c 9.5469
_cell_angle_alpha 90.00
_cell_angle_beta 90.00
_cell_angle_gamma 90.00
_symmetry_space_group_name_H-M 'P m m m'
_symmetry_Int_Tables_number 47
loop_
_symmetry_equiv_pos_as_xyz
'x,y,z'
'-x,-y,-z'
'-x,-y,z'
'x,y,-z'
'x,-y,-z'
'-x,y,z'
'-x,y,-z'
'x,-y,z'
loop_
_atom_site_label
_atom_site_type_symbol
_atom_site_fract_x
_atom_site_fract_y
_atom_site_fract_z
_atom_site_occupancy
Al1 Al 0.0000 0.0000 0.0000 1
V1 V 0.0000 0.5000 0.1286 1
V2 V 0.0000 0.5000 0.3790 1
V3 V 0.2508 0.0000 0.2496 1
V4 V 0.5000 0.2500 0.0000 1
V5 V 0.5000 0.2497 0.5000 1
Zn1 Zn 0.0000 0.0000 0.5000 1
Zn2 Zn 0.5000 0.5000 0.2502 1
```

Results
Total DFT energy (no corrections) = -7.315 eV per atom

No. 3
Below is an optimized crystal structure of Al3VZn, with properties calculated at the GGA-PBE level.

Structure (CIF):
```
data_Al3VZn
_cell_length_a 4.6433
_cell_length_b 4.6433
_cell_length_c 4.6433
_cell_angle_alpha 90.00
_cell_angle_beta 90.00
_cell_angle_gamma 90.00
_symmetry_space_group_name_H-M 'P m -3 m'
_symmetry_Int_Tables_number 221
_symmetry_space_group_name_Hall '-P 4 2 3'
loop_
_atom_site_label
_atom_site_type_symbol
_atom_site_fract_x
_atom_site_fract_y
_atom_site_fract_z
_atom_site_occupancy
Al1 Al 0.0000 0.0000 0.5000 1
V1 V 0.5000 0.5000 0.5000 1
Zn1 Zn 0.0000 0.0000 0.0000 1
```

Results
Relative energy among the computed polymorphs = 808 meV per atom

No. 4
Below is an optimized crystal structure of Al5VZn, with properties calculated at the GGA-PBE level.

Structure (CIF):
```
data_Al5VZn
_cell_length_a 6.9355
_cell_length_b 9.3365
_cell_length_c 5.0011
_cell_angle_alpha 90.00
_cell_angle_beta 90.00
_cell_angle_gamma 90.00
_symmetry_space_group_name_H-M 'I m m 2'
_symmetry_Int_Tables_number 44
loop_
_symmetry_equiv_pos_as_xyz
'x,y,z'
'-x,-y,z'
'-x,y,z'
'x,-y,z'
'x+1/2,y+1/2,z+1/2'
'-x+1/2,-y+1/2,z+1/2'
'-x+1/2,y+1/2,z+1/2'
'x+1/2,-y+1/2,z+1/2'
loop_
_atom_site_label
_atom_site_type_symbol
_atom_site_fract_x
_atom_site_fract_y
_atom_site_fract_z
_atom_site_occupancy
Al1 Al 0.0000 0.0000 0.0000 1
Al2 Al 0.0000 0.2519 0.3573 1
Al3 Al 0.1810 0.5000 0.1986 1
V1 V 0.0000 0.0000 0.4931 1
Zn1 Zn 0.0000 0.5000 0.7223 1
```

Results
Total DFT energy (no corrections) = -3.595 eV per atom

No. 5
Below is an optimized crystal structure of AlVZn2, with properties calculated at the GGA-PBE level.

Structure (CIF):
```
data_AlVZn2
_cell_length_a 6.9586
_cell_length_b 6.9586
_cell_length_c 5.2179
_cell_angle_alpha 90.00
_cell_angle_beta 90.00
_cell_angle_gamma 90.00
_symmetry_space_group_name_H-M 'I -4 2 d'
_symmetry_Int_Tables_number 122
_symmetry_space_group_name_Hall 'I -4 2bw'
loop_
_atom_site_label
_atom_site_type_symbol
_atom_site_fract_x
_atom_site_fract_y
_atom_site_fract_z
_atom_site_occupancy
Al1 Al 0.0000 0.0000 0.0000 1
V1 V 0.0000 0.0000 0.5000 1
Zn1 Zn 0.2427 0.7500 0.1250 1
```

Results
Total DFT energy (no corrections) = -3.525 eV per atom

No. 6
Below is an optimized crystal structure of AlV2Zn, with properties calculated at the GGA-PBE level.

Structure (CIF):
```
data_AlV2Zn
_cell_length_a 2.6163
_cell_length_b 2.6163
_cell_length_c 8.1546
_cell_angle_alpha 90.00
_cell_angle_beta 90.00
_cell_angle_gamma 90.00
_symmetry_space_group_name_H-M 'P 4/m m m'
_symmetry_Int_Tables_number 123
_symmetry_space_group_name_Hall '-P 4 2'
loop_
_atom_site_label
_atom_site_type_symbol
_atom_site_fract_x
_atom_site_fract_y
_atom_site_fract_z
_atom_site_occupancy
Al1 Al 0.0000 0.0000 0.0000 1
V1 V 0.5000 0.5000 0.2473 1
Zn1 Zn 0.0000 0.0000 0.5000 1
```

Results
Total DFT energy (no corrections) = -5.932 eV per atom